Entry 1:
## AgMoN2O (PBE with a Hubbard U)

Data for a relaxed AgMoN2O crystal.

Values from the calculation:
volume = 67.0 Å³ per cell
DFT total energy = -23.26 eV for the cell shown

```
data_AgMoN2O
_chemical_formula_sum 'Ag1 Mo1 N2 O1'
_space_group_name_H-M_alt 'P 4/m m m'
_space_group_IT_number 123
_space_group_name_Hall '-P 4 2'
_cell_length_a 4.028
_cell_length_b 4.028
_cell_length_c 4.127
_cell_angle_alpha 90.00
_cell_angle_beta 90.00
_cell_angle_gamma 90.00
loop_
_atom_site_label
_atom_site_fract_x
_atom_site_fract_y
_atom_site_fract_z
Ag1 0.000 0.000 0.000
Mo1 0.500 0.500 0.500
N1 0.000 0.500 0.000
O1 0.000 0.000 0.500
```

***

Entry 2:
## AgMoN2O (PBE with a Hubbard U)

Data for a relaxed AgMoN2O crystal.

Values from the calculation:
volume = 63.0 Å³ per cell
DFT total energy = -29.51 eV for the cell shown

```
data_AgMoN2O
_chemical_formula_sum 'Ag1 Mo1 N2 O1'
_space_group_name_H-M_alt 'P 4/m m m'
_space_group_IT_number 123
_space_group_name_Hall '-P 4 2'
_cell_length_a 4.005
_cell_length_b 4.005
_cell_length_c 3.929
_cell_angle_alpha 90.00
_cell_angle_beta 90.00
_cell_angle_gamma 90.00
loop_
_atom_site_label
_atom_site_fract_x
_atom_site_fract_y
_atom_site_fract_z
Ag1 0.000 0.000 0.000
Mo1 0.500 0.500 0.500
N1 0.000 0.500 0.500
O1 0.500 0.500 0.000
```